No. 1
Here is SrGeF3 after structural relaxation from the Alexandria database. Energies are from GGA-PBEsol.

CIF file:
```
data_SrGeF3
_space_group_name_H-M_alt 'P m -3 m'
_space_group_IT_number 221
_space_group_name_Hall '-P 4 2 3'
_cell_length_a 4.631
_cell_length_b 4.631
_cell_length_c 4.631
_cell_angle_alpha 90.00
_cell_angle_beta 90.00
_cell_angle_gamma 90.00
loop_
_atom_site_label
_atom_site_type_symbol
_atom_site_fract_x
_atom_site_fract_y
_atom_site_fract_z
Sr1 Sr 0.000 0.000 0.000
Ge1 Ge 0.500 0.500 0.500
F1 F 0.000 0.000 0.500
```

Output
N(E_F) = 0.40 states/eV per atom
Formation energy from raw total energies = -2.1925 eV/atom
E = -4.705 eV per atom

No. 2
Here is Zn2HgW after structural relaxation from the Alexandria database. Energies are from GGA-PBEsol.

CIF file:
```
data_Zn2HgW
_space_group_name_H-M_alt 'F -4 3 m'
_space_group_IT_number 216
_space_group_name_Hall 'F -4 2 3'
_cell_length_a 6.380
_cell_length_b 6.380
_cell_length_c 6.380
_cell_angle_alpha 90.00
_cell_angle_beta 90.00
_cell_angle_gamma 90.00
loop_
_atom_site_label
_atom_site_type_symbol
_atom_site_fract_x
_atom_site_fract_y
_atom_site_fract_z
Zn1 Zn 0.000 0.000 0.000
Zn2 Zn 0.250 0.250 0.250
Hg1 Hg 0.250 0.250 0.750
W1 W 0.000 0.000 0.500
```

Output
N(E_F) = 0.36 states/eV per atom
E_form = 752 meV per atom
E = -3.633 eV per atom

No. 3
Here is CdCoS3 after structural relaxation from the Alexandria database. Energies are from GGA-PBEsol.

CIF file:
```
data_CdCoS3
_space_group_name_H-M_alt 'P m -3 m'
_space_group_IT_number 221
_space_group_name_Hall '-P 4 2 3'
_cell_length_a 4.426
_cell_length_b 4.426
_cell_length_c 4.426
_cell_angle_alpha 90.00
_cell_angle_beta 90.00
_cell_angle_gamma 90.00
loop_
_atom_site_label
_atom_site_type_symbol
_atom_site_fract_x
_atom_site_fract_y
_atom_site_fract_z
Cd1 Cd 0.000 0.000 0.000
Co1 Co 0.500 0.500 0.500
S1 S 0.000 0.500 0.500
```

Output
N(E_F) = 1.15 states/eV per atom
Formation energy from raw total energies = 0.2023 eV/atom
E = -4.215 eV per atom

No. 4
Here is HgBi3Mo after structural relaxation from the Alexandria database. Energies are from GGA-PBEsol.

CIF file:
```
data_HgBi3Mo
_space_group_name_H-M_alt 'P m -3 m'
_space_group_IT_number 221
_space_group_name_Hall '-P 4 2 3'
_cell_length_a 5.340
_cell_length_b 5.340
_cell_length_c 5.340
_cell_angle_alpha 90.00
_cell_angle_beta 90.00
_cell_angle_gamma 90.00
loop_
_atom_site_label
_atom_site_type_symbol
_atom_site_fract_x
_atom_site_fract_y
_atom_site_fract_z
Hg1 Hg 0.000 0.000 0.000
Bi1 Bi 0.000 0.500 0.500
Mo1 Mo 0.500 0.500 0.500
```

Output
N(E_F) = 0.83 states/eV per atom
E_form = 531 meV per atom
E = -4.507 eV per atom

No. 5
Here is AlSb2Pb after structural relaxation from the Alexandria database. Energies are from GGA-PBEsol.

CIF file:
```
data_AlSb2Pb
_space_group_name_H-M_alt 'P 1 m 1'
_space_group_IT_number 6
_cell_length_a 3.206
_cell_length_b 5.748
_cell_length_c 5.749
_cell_angle_alpha 90.00
_cell_angle_beta 90.01
_cell_angle_gamma 90.00
loop_
_space_group_symop_operation_xyz
'x,y,z'
'x,-y,z'
loop_
_atom_site_label
_atom_site_type_symbol
_atom_site_fract_x
_atom_site_fract_y
_atom_site_fract_z
Al1 Al 0.000 0.000 0.000
Sb1 Sb 0.171 0.500 0.002
Sb2 Sb 0.829 0.000 0.500
Pb1 Pb 0.500 0.500 0.502
```

Output
N(E_F) = 0.56 states/eV per atom
Formation energy from raw total energies = 0.1297 eV/atom
E = -4.171 eV per atom

No. 6
Here is CrRePt after structural relaxation from the Alexandria database. Energies are from GGA-PBEsol.

CIF file:
```
data_CrRePt
_space_group_name_H-M_alt 'P -6 m 2'
_space_group_IT_number 187
_space_group_name_Hall 'P -6 2'
_cell_length_a 4.2342
_cell_length_b 4.2342
_cell_length_c 2.6613
_cell_angle_alpha 90.00
_cell_angle_beta 90.00
_cell_angle_gamma 120.00
loop_
_atom_site_label
_atom_site_type_symbol
_atom_site_fract_x
_atom_site_fract_y
_atom_site_fract_z
Cr1 Cr 0.0000 0.0000 0.0000
Re1 Re 0.3333 0.6667 0.0000
Pt1 Pt 0.6667 0.3333 0.5000
```

Output
N(E_F) = 0.76 states/eV per atom
E_form = 106 meV per atom
E = -10.073 eV per atom

No. 7
Here is Sc5BRh15 after structural relaxation from the Alexandria database. Energies are from GGA-PBEsol.

CIF file:
```
data_Sc5BRh15
_space_group_name_H-M_alt 'P 4/m m m'
_space_group_IT_number 123
_space_group_name_Hall '-P 4 2'
_cell_length_a 3.956
_cell_length_b 3.956
_cell_length_c 19.118
_cell_angle_alpha 90.00
_cell_angle_beta 90.00
_cell_angle_gamma 90.00
loop_
_atom_site_label
_atom_site_type_symbol
_atom_site_fract_x
_atom_site_fract_y
_atom_site_fract_z
Sc1 Sc 0.000 0.000 0.000
Sc2 Sc 0.000 0.000 0.198
Sc3 Sc 0.000 0.000 0.395
B1 B 0.500 0.500 0.500
Rh1 Rh 0.000 0.500 0.098
Rh2 Rh 0.000 0.500 0.296
Rh3 Rh 0.000 0.500 0.500
Rh4 Rh 0.500 0.500 0.000
Rh5 Rh 0.500 0.500 0.196
Rh6 Rh 0.500 0.500 0.392
```

Output
N(E_F) = 0.89 states/eV per atom
E_form = -616 meV per atom
E = -8.336 eV per atom

No. 8
Here is TlGaRhF2 after structural relaxation from the Alexandria database. Energies are from GGA-PBEsol.

CIF file:
```
data_TlGaRhF2
_space_group_name_H-M_alt 'P 4/m m m'
_space_group_IT_number 123
_space_group_name_Hall '-P 4 2'
_cell_length_a 4.103
_cell_length_b 4.103
_cell_length_c 5.387
_cell_angle_alpha 90.00
_cell_angle_beta 90.00
_cell_angle_gamma 90.00
loop_
_atom_site_label
_atom_site_type_symbol
_atom_site_fract_x
_atom_site_fract_y
_atom_site_fract_z
Tl1 Tl 0.000 0.000 0.000
Ga1 Ga 0.500 0.500 0.000
Rh1 Rh 0.000 0.000 0.500
F1 F 0.000 0.500 0.500
```

Output
N(E_F) = 0.49 states/eV per atom
Formation energy from raw total energies = -0.5739 eV/atom
E = -4.167 eV per atom

No. 9
Here is LiInPt2 after structural relaxation from the Alexandria database. Energies are from GGA-PBEsol.

CIF file:
```
data_LiInPt2
_space_group_name_H-M_alt 'C m m m'
_space_group_IT_number 65
_space_group_name_Hall '-C 2 2'
_cell_length_a 5.742
_cell_length_b 7.348
_cell_length_c 2.928
_cell_angle_alpha 90.00
_cell_angle_beta 90.00
_cell_angle_gamma 90.00
loop_
_atom_site_label
_atom_site_type_symbol
_atom_site_fract_x
_atom_site_fract_y
_atom_site_fract_z
Li1 Li 0.000 0.000 0.000
In1 In 0.000 0.500 0.000
Pt1 Pt 0.250 0.250 0.500
```

Output
N(E_F) = 0.23 states/eV per atom
E_form = -534 meV per atom
E = -5.253 eV per atom

No. 10
Here is TlInPt after structural relaxation from the Alexandria database. Energies are from GGA-PBEsol.

CIF file:
```
data_TlInPt
_space_group_name_H-M_alt 'F -4 3 m'
_space_group_IT_number 216
_space_group_name_Hall 'F -4 2 3'
_cell_length_a 6.464
_cell_length_b 6.464
_cell_length_c 6.464
_cell_angle_alpha 90.00
_cell_angle_beta 90.00
_cell_angle_gamma 90.00
loop_
_atom_site_label
_atom_site_type_symbol
_atom_site_fract_x
_atom_site_fract_y
_atom_site_fract_z
Tl1 Tl 0.000 0.000 0.000
In1 In 0.000 0.000 0.500
Pt1 Pt 0.250 0.250 0.250
```

Output
N(E_F) = 0.49 states/eV per atom
E_form = -242 meV per atom
E = -4.435 eV per atom

No. 11
Here is Li4B2O5 after structural relaxation from the Alexandria database. Energies are from GGA-PBEsol.

CIF file:
```
data_Li4B2O5
_space_group_name_H-M_alt 'C 1 2/c 1'
_space_group_IT_number 15
_cell_length_a 9.422
_cell_length_b 7.015
_cell_length_c 6.149
_cell_angle_alpha 90.00
_cell_angle_beta 108.50
_cell_angle_gamma 90.00
loop_
_space_group_symop_operation_xyz
'x,y,z'
'-x,-y,-z'
'-x,y,-z+1/2'
'x,-y,z+1/2'
'x+1/2,y+1/2,z'
'-x+1/2,-y+1/2,-z'
'-x+1/2,y+1/2,-z+1/2'
'x+1/2,-y+1/2,z+1/2'
loop_
_atom_site_label
_atom_site_type_symbol
_atom_site_fract_x
_atom_site_fract_y
_atom_site_fract_z
Li1 Li 0.133 0.200 0.274
Li2 Li 0.137 0.477 0.993
B1 B 0.092 0.146 0.647
O1 O 0.000 0.043 0.750
O2 O 0.029 0.296 0.509
O3 O 0.234 0.079 0.689
```

Output
N(E_F) = 0.00 states/eV per atom
Formation energy from raw total energies = -2.2864 eV/atom
E = -6.663 eV per atom